A plane-wave DFT calculation with PBE was carried out for a relaxed Ni2MoP crystal.

For the final energy, the calculation gives -6.961 eV per atom. The value obtained for the total moment is 0.00 μB/f.u. For the volume, the calculation gives 12.63 A^3/atom. The calculation puts the calculated formation energy at -0.0100 eV per atom. The calculation puts the density of states at the Fermi level at 7.7 states/eV per cell.

The space group is Cmmm (No. 65) and the conventional cell measures 4.8950, 7.6332 and 2.7036 Å, with angles of 90.00, 90.00 and 90.00 degrees. The distinct sites, in fractional coordinates, are Ni at (0.2500, 0.2500, 0.0000), Mo at (0.0000, 0.0000, 0.5000) and P at (0.0000, 0.5000, 0.5000).